1.
## Cs2MgBeSn (PBE-GGA)

Data for a relaxed structure of Cs2MgBeSn.

abc: 7.1710 7.1710 4.5278
angles: 90.00 90.00 90.00
Last column: nearest neighbours and their distance in Å.
Space group P4/mmm (No. 123)
Unique sites:
Cs  0.0000  0.5000  0.0000 [2 per cell]  2 Be 3.59
Mg  0.0000  0.0000  0.5000 [1 per cell]  8 Cs 4.24, 2 Mg 4.53
Be  0.5000  0.5000  0.0000 [1 per cell]  2 Sn 2.26
Sn  0.5000  0.5000  0.5000 [1 per cell]  2 Be 2.26

V (Å³ per atom): 46.57
ΔE_f (kJ per mole of atoms): 28
Magnetization (Bohr magnetons per cell): 0.00

***

2.
## TlPdRh2C (PBE-GGA)

Data for a relaxed structure of TlPdRh2C.

abc: 4.0978 4.0978 4.3860
angles: 90.00 90.00 90.00
Last column: nearest neighbours and their distance in Å.
Space group P4/mmm (No. 123)
Unique sites:
Tl  0.0000  0.0000  0.0000 [1 per cell]  4 Pd 2.90, 8 Rh 3.00
Pd  0.5000  0.5000  0.0000 [1 per cell]  2 C 2.19
Rh  0.0000  0.5000  0.5000 [2 per cell]  2 C 2.05
C  0.5000  0.5000  0.5000 [1 per cell]  4 Rh 2.05, 2 Pd 2.19

V (Å³ per atom): 14.73
ΔE_f (kJ per mole of atoms): 11
Magnetization (Bohr magnetons per cell): 0.00